1.
This record from Alexandria via LeMat-Bulk describes Na2Sr8Hg after structural relaxation. The functional is PBE.

a b c (Å): 11.1547 11.1547 8.1257
angles (deg): 107.54 107.54 32.83
Fractional positions:
1 Na 0.1822 0.1822 0.2260
2 Na 0.8178 0.8178 0.7740
3 Sr 0.0182 0.0182 0.2843
4 Sr 0.2020 0.2020 0.7950
5 Sr 0.3528 0.3528 0.5388
6 Sr 0.4095 0.4095 0.0752
7 Sr 0.5905 0.5905 0.9248
8 Sr 0.6472 0.6472 0.4612
9 Sr 0.7980 0.7980 0.2050
10 Sr 0.9818 0.9818 0.7157
11 Hg 0.5000 0.5000 0.5000

Output
Formation energy, eV/atom: -0.06
Volume, A^3/atom: 47.31
ΔE to the lowest computed polymorph, kJ/mol of atoms: 1.8
Size of the total moment, μB/f.u.: 0.00
Final energy, eV per atom: -1.549
Space-group type: C2/m, No. 12

2.
This record from Alexandria via LeMat-Bulk describes NaSr12Hg5 after structural relaxation. The functional is PBE.

a b c (Å): 9.9891 9.9891 9.9891
angles (deg): 114.65 110.25 103.70
Fractional positions:
1 Na 0.0000 0.0000 0.0000
2 Sr 0.0801 0.2708 0.8092
3 Sr 0.1680 0.4780 0.3100
4 Sr 0.1680 0.8581 0.6900
5 Sr 0.3239 0.2211 0.5450
6 Sr 0.3239 0.7789 0.1028
7 Sr 0.4616 0.2708 0.1908
8 Sr 0.5384 0.7292 0.8092
9 Sr 0.6761 0.2211 0.8972
10 Sr 0.6761 0.7789 0.4550
11 Sr 0.8320 0.1419 0.3100
12 Sr 0.8320 0.5220 0.6900
13 Sr 0.9199 0.7292 0.1908
14 Hg 0.1590 0.5000 0.6590
15 Hg 0.3735 0.8735 0.5000
16 Hg 0.5000 0.5000 0.0000
17 Hg 0.6265 0.1265 0.5000
18 Hg 0.8410 0.5000 0.3410

Output
Formation energy, eV/atom: -0.30
Volume, A^3/atom: 42.24
Size of the total moment, μB/f.u.: 0.00
Final energy, eV per atom: -1.575
Space-group type: Immm, No. 71

3.
This record from Alexandria via LeMat-Bulk describes Na5Sr12Hg2 after structural relaxation. The functional is PBE.

a b c (Å): 12.0904 12.0904 10.1979
angles (deg): 109.69 109.69 41.44
Fractional positions:
1 Na 0.0000 0.0000 0.0000
2 Na 0.2460 0.2460 0.4976
3 Na 0.2520 0.2520 0.0009
4 Na 0.7480 0.7480 0.9991
5 Na 0.7540 0.7540 0.5024
6 Sr 0.0234 0.0234 0.3408
7 Sr 0.1035 0.6030 0.8414
8 Sr 0.1043 0.5974 0.3228
9 Sr 0.3970 0.8965 0.1586
10 Sr 0.4026 0.8957 0.6772
11 Sr 0.4897 0.4897 0.2019
12 Sr 0.5103 0.5103 0.7981
13 Sr 0.5974 0.1043 0.3228
14 Sr 0.6030 0.1035 0.8414
15 Sr 0.8957 0.4026 0.6772
16 Sr 0.8965 0.3970 0.1586
17 Sr 0.9766 0.9766 0.6592
18 Hg 0.3191 0.6809 0.5000
19 Hg 0.6809 0.3191 0.5000

Output
Formation energy, eV/atom: -0.03
Volume, A^3/atom: 48.43
Size of the total moment, μB/f.u.: 0.00
Final energy, eV per atom: -1.475
Space-group type: C2/m, No. 12

4.
This record from Alexandria via LeMat-Bulk describes Na5SrHg8 after structural relaxation. The functional is PBE.

a b c (Å): 8.0175 8.0175 8.0175
angles (deg): 110.88 110.88 106.68
Fractional positions:
1 Na 0.0000 0.0000 0.0000
2 Na 0.1867 0.2660 0.6331
3 Na 0.4464 0.8133 0.0793
4 Na 0.6329 0.5536 0.3669
5 Na 0.7340 0.3671 0.9207
6 Sr 0.2500 0.7500 0.5000
7 Hg 0.1692 0.4191 0.0402
8 Hg 0.3789 0.1290 0.9598
9 Hg 0.4307 0.1590 0.4134
10 Hg 0.5809 0.6211 0.7500
11 Hg 0.7456 0.0173 0.5866
12 Hg 0.8410 0.2544 0.2717
13 Hg 0.8710 0.8308 0.2500
14 Hg 0.9827 0.5693 0.7283

Output
Formation energy, eV/atom: -0.25
Volume, A^3/atom: 28.29
Size of the total moment, μB/f.u.: 0.00
Final energy, eV per atom: -1.012
Space-group type: I-4, No. 82

5.
This record from Alexandria via LeMat-Bulk describes NaSr6Hg5 after structural relaxation. The functional is PBE.

a b c (Å): 9.9324 9.9324 9.9324
angles (deg): 146.53 131.82 59.94
Fractional positions:
1 Na 0.0000 0.0000 0.0000
2 Sr 0.0858 0.8274 0.2583
3 Sr 0.2666 0.5000 0.7666
4 Sr 0.4309 0.1726 0.2583
5 Sr 0.5691 0.8274 0.7417
6 Sr 0.7334 0.5000 0.2334
7 Sr 0.9142 0.1726 0.7417
8 Hg 0.1555 0.6555 0.5000
9 Hg 0.3326 0.3326 0.0000
10 Hg 0.5000 0.0000 0.5000
11 Hg 0.6674 0.6674 0.0000
12 Hg 0.8445 0.3445 0.5000

Output
Formation energy, eV/atom: -0.44
Volume, A^3/atom: 33.26
Size of the total moment, μB/f.u.: 0.00
Final energy, eV per atom: -1.518
Space-group type: Immm, No. 71

6.
This record from Alexandria via LeMat-Bulk describes Na5Sr4Hg6 after structural relaxation. The functional is PBE.

a b c (Å): 12.7441 12.7441 16.7723
angles (deg): 90.00 90.00 158.99
Fractional positions:
1 Na 0.0400 0.9600 0.5000
2 Na 0.1480 0.8520 0.8044
3 Na 0.1885 0.8115 0.4494
4 Na 0.1888 0.8112 0.0953
5 Na 0.3251 0.6749 0.4496
6 Na 0.6749 0.3251 0.9496
7 Na 0.8112 0.1888 0.5953
8 Na 0.8115 0.1885 0.9494
9 Na 0.8520 0.1480 0.3044
10 Na 0.9600 0.0400 0.0000
11 Sr 0.3198 0.6802 0.7731
12 Sr 0.3705 0.6295 0.1222
13 Sr 0.4486 0.5514 0.6203
14 Sr 0.4755 0.5245 0.3436
15 Sr 0.5245 0.4755 0.8436
16 Sr 0.5514 0.4486 0.1203
17 Sr 0.6295 0.3705 0.6222
18 Sr 0.6802 0.3198 0.2731
19 Hg 0.0407 0.9593 0.6937
20 Hg 0.0788 0.9212 0.2737
21 Hg 0.0850 0.9150 0.9743
22 Hg 0.2274 0.7726 0.6279
23 Hg 0.2725 0.7275 0.2698
24 Hg 0.4004 0.5996 0.9235
25 Hg 0.5996 0.4004 0.4235
26 Hg 0.7275 0.2725 0.7698
27 Hg 0.7726 0.2274 0.1279
28 Hg 0.9150 0.0850 0.4743
29 Hg 0.9212 0.0788 0.7737
30 Hg 0.9593 0.0407 0.1937

Output
Formation energy, eV/atom: -0.32
Volume, A^3/atom: 32.55
Size of the total moment, μB/f.u.: 0.00
Final energy, eV per atom: -1.325
Space-group type: Cmc2_1, No. 36

7.
This record from Alexandria via LeMat-Bulk describes NaSr4Hg5 after structural relaxation. The functional is PBE.

a b c (Å): 3.9329 3.9329 19.9059
angles (deg): 90.00 90.00 90.00
Fractional positions:
1 Na 0.0000 0.0000 0.0000
2 Sr 0.0000 0.0000 0.1912
3 Sr 0.0000 0.0000 0.3974
4 Sr 0.0000 0.0000 0.6026
5 Sr 0.0000 0.0000 0.8088
6 Hg 0.5000 0.5000 0.0857
7 Hg 0.5000 0.5000 0.2930
8 Hg 0.5000 0.5000 0.5000
9 Hg 0.5000 0.5000 0.7070
10 Hg 0.5000 0.5000 0.9143

Output
Formation energy, eV/atom: -0.46
Volume, A^3/atom: 30.79
Size of the total moment, μB/f.u.: 0.00
Final energy, eV per atom: -1.419
Space-group type: P4/mmm, No. 123

8.
This record from Alexandria via LeMat-Bulk describes Na3SrHg3 after structural relaxation. The functional is PBE.

a b c (Å): 9.0244 9.0244 9.0244
angles (deg): 51.69 51.69 51.69
Fractional positions:
1 Na 0.0593 0.5894 0.2339
2 Na 0.2339 0.0593 0.5894
3 Na 0.4106 0.7661 0.9407
4 Na 0.5894 0.2339 0.0593
5 Na 0.7661 0.9407 0.4106
6 Na 0.9407 0.4106 0.7661
7 Sr 0.1602 0.1602 0.1602
8 Sr 0.8398 0.8398 0.8398
9 Hg 0.2090 0.6721 0.4339
10 Hg 0.3279 0.5661 0.7910
11 Hg 0.4339 0.2090 0.6721
12 Hg 0.5661 0.7910 0.3279
13 Hg 0.6721 0.4339 0.2090
14 Hg 0.7910 0.3279 0.5661

Output
Formation energy, eV/atom: -0.24
Volume, A^3/atom: 29.86
ΔE to the lowest computed polymorph, kJ/mol of atoms: 5.2
Size of the total moment, μB/f.u.: 0.00
Final energy, eV per atom: -1.172
Space-group type: R-3, No. 148